Below is a geometry-optimized K3NiS2O8 structure, with properties calculated at the PBE with a Hubbard U level.

Unit cell a=5.6530 b=5.6530 c=7.3848 alpha=90.00 beta=90.00 gamma=120.00
Site moments in Bohr magnetons follow the coordinates.
Element x y z (fractional)
O  0.1888  0.8112  0.3106  0.00
K  0.0000  0.0000  0.0000  0.00
Ni  0.0000  0.0000  0.5000  1.02
O  0.8112  0.1888  0.6894  0.00
K  0.3333  0.6667  0.6794  0.00
S  0.6667  0.3333  0.7601  0.00
K  0.6667  0.3333  0.3206  0.00
O  0.8112  0.6224  0.6894  0.00
O  0.6224  0.8112  0.3106  0.00
O  0.6667  0.3333  0.9597  0.00
O  0.3776  0.1888  0.6894  0.00
S  0.3333  0.6667  0.2399  0.00
O  0.3333  0.6667  0.0403  0.00
O  0.1888  0.3776  0.3106  0.00

Density: 2.99 Mg/m³
Magnetic moment: 1.0 μB/cell
Crystal system: trigonal
Final energy: -74.76 eV for the cell shown